A plane-wave DFT calculation with PBE was carried out for a relaxed NaNb2Ru crystal.

```
NaNb2Ru
1.0
0.000 3.247 3.247
3.247 0.000 3.247
3.247 3.247 0.000
Na Nb Ru
1 2 1
Cartesian
0.000 0.000 0.000
1.624 1.624 1.624
4.871 4.871 4.871
3.247 3.247 3.247
```

## Properties
- calculated formation energy (eV per atom) = 0.54
- SG = No. 225
- VASP energy (eV per atom) = -7.145
- polymorph energy (0 for the lowest one) (kJ/mol of formula units) = 60
- DOS at the Fermi energy (states/eV/atom) = 1.238



A plane-wave DFT calculation with PBE was carried out for a relaxed Ba8In2Ge crystal.

```
Ba8In2Ge
1.0
-2.931 4.867 8.487
2.931 -4.867 8.487
2.931 4.867 -8.487
Ba In Ge
8 2 1
Cartesian
2.931 2.667 -2.609
0.000 0.000 2.319
0.000 3.150 0.000
2.931 2.667 2.609
0.000 2.200 5.878
0.000 6.584 0.000
0.000 0.000 14.656
0.000 2.200 11.096
2.931 0.000 5.231
0.000 4.867 3.256
2.931 0.000 0.000
```

## Properties
- calculated formation energy (eV per atom) = -0.20
- SG = No. 71
- VASP energy (eV per atom) = -2.517
- polymorph energy (0 for the lowest one) (kJ/mol of formula units) = 80
- DOS at the Fermi energy (states/eV/atom) = 0.916



A plane-wave DFT calculation with PBE was carried out for a relaxed Ag2Cl crystal.

```
Ag2Cl
1.0
4.326 -1.694 0.000
4.326 1.694 0.000
-0.014 0.000 8.974
Ag Cl
4 2
Cartesian
0.000 0.000 0.000
0.064 0.000 2.849
2.515 0.000 1.577
6.268 0.000 4.173
3.851 0.000 5.254
6.194 0.000 8.057
```

## Properties
- SG = No. 8
- VASP energy (eV per atom) = -2.648
- polymorph energy (0 for the lowest one) (kJ/mol of formula units) = 26
- DOS at the Fermi energy (states/eV/atom) = 0.126



A plane-wave DFT calculation with PBE was carried out for a relaxed KCu6Br8 crystal.

```
KCu6Br8
1.0
0.000 6.217 6.217
6.217 0.000 6.217
6.217 6.217 0.000
K Cu Br
1 6 8
Cartesian
0.000 0.000 0.000
3.108 3.108 0.000
3.108 0.000 3.108
6.217 3.108 3.108
0.000 3.108 3.108
3.108 6.217 3.108
3.108 3.108 6.217
1.834 1.834 1.834
4.383 4.383 1.834
4.383 1.834 4.383
10.600 8.050 8.050
1.834 4.383 4.383
8.050 10.600 8.050
8.050 8.050 10.600
10.600 10.600 10.600
```

## Properties
- SG = No. 225
- VASP energy (eV per atom) = -2.894
- polymorph energy (0 for the lowest one) (kJ/mol of formula units) = 250
- DOS at the Fermi energy (states/eV/atom) = 0.634